The following is a PBE calculation of a relaxed LuThIr4 crystal, from the Alexandria database.

Cell lengths 5.3926, 5.3926, 5.3926 Å; angles 60.00, 60.00, 60.00 degrees
Closest atoms and distances in Å follow each position.
Sites, in units of the cell vectors:
Ir: 0.6257 0.6257 0.6257  6 Ir 2.68-2.71
Ir: 0.1229 0.6257 0.6257  6 Ir 2.68-2.71
Ir: 0.6257 0.1229 0.6257  6 Ir 2.68-2.71
Ir: 0.6257 0.6257 0.1229  6 Ir 2.68-2.71
Lu: 0.0000 0.0000 0.0000  12 Ir 3.16, 4 Th 3.30
Th: 0.2500 0.2500 0.2500  12 Ir 3.16, 4 Lu 3.30

Computed properties:
The final energy is -8.72 eV/atom. The energy of formation is -4.93 eV per formula unit. As for the space-group type: F-43m.

---

The following is a PBE calculation of a relaxed LuThZnIr crystal, from the Alexandria database.

Cell lengths 4.9973, 4.9973, 4.9973 Å; angles 60.00, 60.00, 60.00 degrees
Closest atoms and distances in Å follow each position.
Sites, in units of the cell vectors:
Ir: 0.5000 0.5000 0.5000  4 Th 3.06, 4 Lu 3.06
Lu: 0.2500 0.2500 0.2500  4 Ir 3.06, 4 Zn 3.06
Th: 0.7500 0.7500 0.7500  4 Zn 3.06, 4 Ir 3.06
Zn: 0.0000 0.0000 0.0000  4 Lu 3.06, 4 Th 3.06

Computed properties:
The final energy is -6.08 eV/atom. The energy of formation is -2.23 eV per formula unit. As for the space-group type: F-43m.

---

Among the records above, which one has the highest energy of formation? LuThZnIr

---

Copy entry 2 word for word.
The following is a PBE calculation of a relaxed LuThZnIr crystal, from the Alexandria database.

Cell lengths 4.9973, 4.9973, 4.9973 Å; angles 60.00, 60.00, 60.00 degrees
Closest atoms and distances in Å follow each position.
Sites, in units of the cell vectors:
Ir: 0.5000 0.5000 0.5000  4 Th 3.06, 4 Lu 3.06
Lu: 0.2500 0.2500 0.2500  4 Ir 3.06, 4 Zn 3.06
Th: 0.7500 0.7500 0.7500  4 Zn 3.06, 4 Ir 3.06
Zn: 0.0000 0.0000 0.0000  4 Lu 3.06, 4 Th 3.06

Computed properties:
The final energy is -6.08 eV/atom. The energy of formation is -2.23 eV per formula unit. As for the space-group type: F-43m.